The following is a PBE-GGA calculation of a relaxed SrLi2Al3 crystal, from Alexandria.

Calculated values
The formation energy is -170 meV/atom.

a b c (Å): 10.9338 9.2897 5.1008
angles (deg): 90.00 90.00 90.00
Last column: nearest neighbours and their distance in Å.
Space group Cmcm (No. 63)
Unique sites:
Sr  0.0000  0.1790  0.2500  9 Al 3.36-3.63, 4 Li 3.73
Li  0.2176  0.5000  0.0000  2 Li 2.55, 6 Al 2.74-2.78
Al  0.0000  0.4305  0.7500  4 Al 2.74-2.86, 4 Li 2.78
Al  0.1924  0.2408  0.7500  4 Li 2.74-2.76, 3 Al 2.74-2.85